The following is a PBE calculation of SbPb3Se2 after structural relaxation, from Alexandria.

Lattice parameters (Å, degrees): 14.570 13.916 7.674 79.13 69.72 31.15
Fractional positions:
Sb: 0.042 0.042 0.208
Sb: 0.208 0.208 0.042
Sb: 0.792 0.792 0.958
Sb: 0.958 0.958 0.792
Pb: 0.049 0.537 0.208
Pb: 0.131 0.619 0.619
Pb: 0.208 0.706 0.049
Pb: 0.294 0.792 0.463
Pb: 0.381 0.869 0.869
Pb: 0.463 0.951 0.294
Pb: 0.537 0.049 0.706
Pb: 0.619 0.131 0.131
Pb: 0.706 0.208 0.537
Pb: 0.792 0.294 0.951
Pb: 0.869 0.381 0.381
Pb: 0.951 0.463 0.792
Se: 0.124 0.124 0.626
Se: 0.291 0.291 0.459
Se: 0.374 0.374 0.876
Se: 0.459 0.459 0.291
Se: 0.541 0.541 0.709
Se: 0.626 0.626 0.124
Se: 0.709 0.709 0.541
Se: 0.876 0.876 0.374

Properties
ΔE_f (raw), kJ/mol of atoms: -27
Energy relative to the lowest polymorph listed for this composition, meV per atom: 22.3
Symmetry: No. 70
Calculated volume, Å³ per cell: 736.0
Magnetization, μB/f.u.: 0.000

***

The following is a PBE calculation of ZnSb2Pt after structural relaxation, from Alexandria.

Lattice parameters (Å, degrees): 7.243 7.243 7.243 128.85 128.85 75.25
Fractional positions:
Zn: 0.000 0.000 0.000
Zn: 0.750 0.250 0.500
Sb: 0.139 0.625 0.014
Sb: 0.375 0.389 0.514
Sb: 0.611 0.125 0.986
Sb: 0.875 0.861 0.486
Pt: 0.250 0.750 0.500
Pt: 0.500 0.500 0.000

Properties
ΔE_f (raw), kJ/mol of atoms: -1
Symmetry: No. 122
Calculated volume, Å³ per cell: 224.3
Magnetization, μB/f.u.: 0.000

***

The following is a PBE calculation of GaSb2TeIr after structural relaxation, from Alexandria.

Lattice parameters (Å, degrees): 5.085 5.085 5.185 90.00 90.00 90.00
Fractional positions:
Ga: 0.000 0.000 0.000
Sb: 0.000 0.500 0.000
Sb: 0.500 0.000 0.000
Te: 0.000 0.000 0.500
Ir: 0.500 0.500 0.500

Properties
ΔE_f (raw), kJ/mol of atoms: 118
Energy relative to the lowest polymorph listed for this composition, meV per atom: 792.4
Symmetry: No. 123
Calculated volume, Å³ per cell: 134.1
Magnetization, μB/f.u.: 0.000

***

The following is a PBE calculation of Li2TaAu after structural relaxation, from Alexandria.

Lattice parameters (Å, degrees): 2.770 4.940 4.942 90.00 90.00 90.00
Fractional positions:
Li: 0.000 0.000 0.000
Li: 0.500 0.500 0.000
Ta: 0.000 0.500 0.500
Au: 0.500 0.000 0.500

Properties
Energy relative to the lowest polymorph listed for this composition, meV per atom: 75.0
Symmetry: No. 47
Calculated volume, Å³ per cell: 67.6
Energy relative to the elements, eV per atom: 0.08
Magnetization, μB/f.u.: 0.000